Computed, not measured: an optimized crystal structure of BeHO3 at the PBE-GGA level of DFT.

Calculated values
The total energy is -4.135 eV per atom. The value obtained for the density of states at the Fermi level is 1.4 states/eV per cell. Its calculated volume is 8.3 Å³/atom.

a = 3.4613 Å, b = 3.4613 Å, c = 3.4613 Å
α = 90.00°, β = 90.00°, γ = 90.00°
Last column: nearest neighbours and their distance in Å.
Space group Pm-3m (No. 221)
Inequivalent atoms, fractional coordinates:
Be (0.0000, 0.0000, 0.0000) x1  6 O 1.73
H (0.5000, 0.5000, 0.5000) x1  12 O 2.45
O (0.0000, 0.0000, 0.5000) x3  2 Be 1.73

=====

Computed, not measured: an optimized crystal structure of PCSe at the PBE-GGA level of DFT.

Calculated values
The polymorph energy (0 for the lowest one) is 0.138 eV per atom. The total energy is -5.529 eV per atom. Its calculated volume is 24.5 Å³/atom.

a = 4.4096 Å, b = 5.1462 Å, c = 7.0633 Å
α = 103.31°, β = 107.57°, γ = 94.39°
Last column: nearest neighbours and their distance in Å.
Space group P1 (No. 1)
Inequivalent atoms, fractional coordinates:
P (0.0000, 0.0000, 0.0000) x1  1 C 1.72
P (0.2309, 0.7344, 0.4922) x1  1 C 1.72
C (0.0176, 0.2167, 0.2298) x1  1 C 1.44
C (0.0307, 0.5045, 0.2587) x1  1 C 1.44
Se (0.7799, 0.5893, 0.0118) x1  1 C 1.93
Se (0.9937, 0.1116, 0.4705) x1  1 C 1.93

=====

Computed, not measured: an optimized crystal structure of Pr2Co2Os at the PBE-GGA level of DFT.

Calculated values
The total energy is -7.039 eV per atom. The value obtained for the energy relative to the elements is -0.04 eV per atom. The value obtained for the density of states at the Fermi level is 24.2 states/eV per cell. Its calculated volume is 20.1 Å³/atom.

a = 9.2572 Å, b = 5.6300 Å, c = 7.9132 Å
α = 90.00°, β = 102.27°, γ = 90.00°
Last column: nearest neighbours and their distance in Å.
Space group C2/c (No. 15)
Inequivalent atoms, fractional coordinates:
Pr (0.1534, 0.1080, 0.1546) x8  6 Co 2.96-3.25, 2 Os 3.14-3.27
Co (0.1123, 0.3869, 0.5008) x8  2 Os 2.41-2.42, 1 Co 2.44
Os (0.0000, 0.3838, 0.7500) x4  4 Co 2.41-2.42

=====

Computed, not measured: an optimized crystal structure of CsSb2SI at the PBE-GGA level of DFT.

Calculated values
The polymorph energy (0 for the lowest one) is 0.000 eV per atom. The total energy is -3.050 eV per atom. The value obtained for the density of states at the Fermi level is 4.2 states/eV per cell. Its calculated volume is 48.9 Å³/atom.

a = 5.2293 Å, b = 5.2293 Å, c = 8.9446 Å
α = 90.00°, β = 90.00°, γ = 90.00°
Last column: nearest neighbours and their distance in Å.
Space group P4/mmm (No. 123)
Inequivalent atoms, fractional coordinates:
Cs (0.0000, 0.0000, 0.0000) x1  4 I 3.70
Sb (0.0000, 0.5000, 0.5000) x2  2 S 2.61
S (0.5000, 0.5000, 0.5000) x1  4 Sb 2.61
I (0.5000, 0.5000, 0.0000) x1  4 Cs 3.70